A relaxed ZrBePb crystal. Source: the Alexandria database, functional GGA-PBE.

The volume is 19.9 Å³ per atom. For the mass density, the calculation gives 8.54 g/cm3. For the electronic total energy, the calculation gives -5.1401 eV/atom. The polymorph energy (0 for the lowest one) is 145.6 meV/atom. The value obtained for the formation energy is 0.56 eV/f.u.

The space group is I4mm (No. 107) and the conventional cell measures 3.271, 3.271 and 11.169 Å, with angles of 90.00, 90.00 and 90.00 degrees. The asymmetric unit holds Zr at (0.000, 0.000, 0.000), Be at (0.000, 0.000, 0.630) and Pb at (0.000, 0.000, 0.289).

=====

A relaxed Zr2BePb crystal. Source: the Alexandria database, functional GGA-PBE.

The volume is 20.8 Å³ per atom. For the mass density, the calculation gives 7.96 g/cm3. For the electronic total energy, the calculation gives -5.9768 eV/atom. The polymorph energy (0 for the lowest one) is 246.6 meV/atom. The value obtained for the formation energy is 0.62 eV/f.u.

The space group is Cmm2 (No. 35) and the conventional cell measures 4.190, 5.109 and 7.775 Å, with angles of 90.00, 90.00 and 90.00 degrees. The asymmetric unit holds Zr at (0.000, 0.000, 0.000), Zr at (0.000, 0.500, 0.288), Be at (0.000, 0.500, 0.797) and Pb at (0.000, 0.000, 0.586).

=====

A relaxed Zr2BePb crystal. Source: the Alexandria database, functional GGA-PBE.

The volume is 20.1 Å³ per atom. For the mass density, the calculation gives 8.24 g/cm3. For the electronic total energy, the calculation gives -6.1258 eV/atom. The polymorph energy (0 for the lowest one) is 97.6 meV/atom. The value obtained for the formation energy is 0.03 eV/f.u.

The space group is P4/mmm (No. 123) and the conventional cell measures 4.313, 4.313 and 4.318 Å, with angles of 90.00, 90.00 and 90.00 degrees. The asymmetric unit holds Zr at (0.000, 0.500, 0.000), Be at (0.000, 0.000, 0.500) and Pb at (0.500, 0.500, 0.500).

=====

A relaxed Zr2BePb crystal. Source: the Alexandria database, functional GGA-PBE.

The volume is 20.4 Å³ per atom. For the mass density, the calculation gives 8.11 g/cm3. For the electronic total energy, the calculation gives -6.0770 eV/atom. The polymorph energy (0 for the lowest one) is 146.3 meV/atom. The value obtained for the formation energy is 0.22 eV/f.u.

The space group is Imm2 (No. 44) and the conventional cell measures 3.743, 4.509 and 9.669 Å, with angles of 90.00, 90.00 and 90.00 degrees. The asymmetric unit holds Zr at (0.000, 0.000, 0.000), Zr at (0.000, 0.500, 0.232), Be at (0.000, 0.500, 0.742) and Pb at (0.000, 0.000, 0.456).

=====

Question: Which value of polymorph energy (0 for the lowest one) does entry 1 give?
Answer: 145.6 meV/atom

=====

Question: polymorph energy (0 for the lowest one) of number 4 (Zr2BePb)?
Answer: 146.3 meV/atom